Here is Cs2CrMoI6 after structural relaxation from Alexandria via LeMat-Bulk. Energies are from PBE.

CIF file:
```
data_Cs2CrMoI6
_chemical_formula_sum 'Cs4 Cr2 Mo2 I12'
_symmetry_space_group_name_H-M 'I 4/m m m'
_symmetry_Int_Tables_number 139
_symmetry_space_group_name_Hall '-I 4 2'
_cell_length_a 8.254
_cell_length_b 8.254
_cell_length_c 11.691
_cell_angle_alpha 90.00
_cell_angle_beta 90.00
_cell_angle_gamma 90.00
loop_
_atom_site_label
_atom_site_type_symbol
_atom_site_fract_x
_atom_site_fract_y
_atom_site_fract_z
Cs1 Cs 0.000 0.500 0.250
Cr1 Cr 0.000 0.000 0.000
Mo1 Mo 0.000 0.000 0.500
I1 I 0.000 0.000 0.253
I2 I 0.248 0.248 0.500
```

Results
DFT total energy	-3.778	eV per atom

Here is TbNdTm2Bi4 after structural relaxation from Alexandria via LeMat-Bulk. Energies are from PBE.

CIF file:
```
data_TbNdTm2Bi4
_chemical_formula_sum 'Tb1 Nd1 Tm2 Bi4'
_symmetry_space_group_name_H-M 'P 1 2/m 1'
_symmetry_Int_Tables_number 10
_cell_length_a 7.777
_cell_length_b 4.499
_cell_length_c 7.784
_cell_angle_alpha 90.00
_cell_angle_beta 109.50
_cell_angle_gamma 90.00
loop_
_symmetry_equiv_pos_as_xyz
'x,y,z'
'-x,-y,-z'
'-x,y,-z'
'x,-y,z'
loop_
_atom_site_label
_atom_site_type_symbol
_atom_site_fract_x
_atom_site_fract_y
_atom_site_fract_z
Tb1 Tb 0.000 0.000 0.000
Nd1 Nd 0.000 0.500 0.500
Tm1 Tm 0.500 0.000 0.500
Tm2 Tm 0.500 0.500 0.000
Bi1 Bi 0.257 0.500 0.249
Bi2 Bi 0.259 0.000 0.757
```

Results
DFT total energy	-5.077	eV per atom

Here is DyPuGaAu after structural relaxation from Alexandria via LeMat-Bulk. Energies are from PBE.

CIF file:
```
data_DyPuGaAu
_chemical_formula_sum 'Dy4 Pu4 Ga4 Au4'
_symmetry_space_group_name_H-M 'F -4 3 m'
_symmetry_Int_Tables_number 216
_symmetry_space_group_name_Hall 'F -4 2 3'
_cell_length_a 7.243
_cell_length_b 7.243
_cell_length_c 7.243
_cell_angle_alpha 90.00
_cell_angle_beta 90.00
_cell_angle_gamma 90.00
loop_
_atom_site_label
_atom_site_type_symbol
_atom_site_fract_x
_atom_site_fract_y
_atom_site_fract_z
Dy1 Dy 0.000 0.000 0.000
Pu1 Pu 0.000 0.000 0.500
Ga1 Ga 0.250 0.250 0.250
Au1 Au 0.250 0.250 0.750
```

Results
DFT total energy	-6.784	eV per atom

Here is CoAgPt after structural relaxation from Alexandria via LeMat-Bulk. Energies are from PBE.

CIF file:
```
data_CoAgPt
_chemical_formula_sum 'Co2 Ag2 Pt2'
_symmetry_space_group_name_H-M 'P -1'
_symmetry_Int_Tables_number 2
_cell_length_a 2.768
_cell_length_b 4.077
_cell_length_c 8.066
_cell_angle_alpha 90.06
_cell_angle_beta 99.58
_cell_angle_gamma 90.05
loop_
_symmetry_equiv_pos_as_xyz
'x,y,z'
'-x,-y,-z'
loop_
_atom_site_label
_atom_site_type_symbol
_atom_site_fract_x
_atom_site_fract_y
_atom_site_fract_z
Co1 Co 0.035 0.250 0.075
Ag1 Ag 0.205 0.250 0.410
Pt1 Pt 0.399 0.250 0.793
```

Results
offset from the most stable computed form	0	meV per atom

Here is PmNbHg2O6 after structural relaxation from Alexandria via LeMat-Bulk. Energies are from PBE.

CIF file:
```
data_PmNbHg2O6
_chemical_formula_sum 'Pm3 Nb3 Hg6 O18'
_symmetry_space_group_name_H-M 'R 3'
_symmetry_Int_Tables_number 146
_symmetry_space_group_name_Hall 'R 3'
_cell_length_a 5.8101
_cell_length_b 5.8101
_cell_length_c 15.0249
_cell_angle_alpha 90.00
_cell_angle_beta 90.00
_cell_angle_gamma 120.00
loop_
_atom_site_label
_atom_site_type_symbol
_atom_site_fract_x
_atom_site_fract_y
_atom_site_fract_z
Pm1 Pm 0.0000 0.0000 0.0000
Nb1 Nb 0.0000 0.0000 0.5014
Hg1 Hg 0.0000 0.0000 0.2702
Hg2 Hg 0.0000 0.0000 0.7494
O1 O 0.0259 0.3980 0.2362
O2 O 0.0698 0.6943 0.0780
```

Results
DFT total energy	-6.338	eV per atom

Here is PrPa2MnS8 after structural relaxation from Alexandria via LeMat-Bulk. Energies are from PBE.

CIF file:
```
data_PrPa2MnS8
_chemical_formula_sum 'Pr1 Pa2 Mn1 S8'
_symmetry_space_group_name_H-M 'P 1 2/m 1'
_symmetry_Int_Tables_number 10
_cell_length_a 6.129
_cell_length_b 8.085
_cell_length_c 6.337
_cell_angle_alpha 90.00
_cell_angle_beta 94.11
_cell_angle_gamma 90.00
loop_
_symmetry_equiv_pos_as_xyz
'x,y,z'
'-x,-y,-z'
'-x,y,-z'
'x,-y,z'
loop_
_atom_site_label
_atom_site_type_symbol
_atom_site_fract_x
_atom_site_fract_y
_atom_site_fract_z
Pr1 Pr 0.000 0.000 0.000
Pa1 Pa 0.500 0.259 0.500
Mn1 Mn 0.000 0.500 0.000
S1 S 0.213 0.289 0.169
S2 S 0.288 0.500 0.666
S3 S 0.296 0.000 0.663
```

Results
DFT total energy	-6.824	eV per atom

Here is Mn3Pt2 after structural relaxation from Alexandria via LeMat-Bulk. Energies are from PBE.

CIF file:
```
data_Mn3Pt2
_chemical_formula_sum 'Mn3 Pt2'
_symmetry_space_group_name_H-M 'P -3 m 1'
_symmetry_Int_Tables_number 164
_symmetry_space_group_name_Hall '-P 3 2"'
_cell_length_a 4.3070
_cell_length_b 4.3070
_cell_length_c 5.3096
_cell_angle_alpha 90.00
_cell_angle_beta 90.00
_cell_angle_gamma 120.00
loop_
_atom_site_label
_atom_site_type_symbol
_atom_site_fract_x
_atom_site_fract_y
_atom_site_fract_z
Mn1 Mn 0.0000 0.0000 0.0000
Mn2 Mn 0.3333 0.6667 0.3509
Pt1 Pt 0.3333 0.6667 0.8390
```

Results
offset from the most stable computed form	38	meV per atom

Here is TaOs3 after structural relaxation from Alexandria via LeMat-Bulk. Energies are from PBE.

CIF file:
```
data_TaOs3
_chemical_formula_sum 'Ta2 Os6'
_symmetry_space_group_name_H-M 'I 4/m m m'
_symmetry_Int_Tables_number 139
_symmetry_space_group_name_Hall '-I 4 2'
_cell_length_a 3.921
_cell_length_b 3.921
_cell_length_c 7.913
_cell_angle_alpha 90.00
_cell_angle_beta 90.00
_cell_angle_gamma 90.00
loop_
_atom_site_label
_atom_site_type_symbol
_atom_site_fract_x
_atom_site_fract_y
_atom_site_fract_z
Ta1 Ta 0.000 0.000 0.000
Os1 Os 0.000 0.000 0.500
Os2 Os 0.000 0.500 0.250
```

Results
DFT total energy	-11.469	eV per atom

Here is Y7Cd2Ga2 after structural relaxation from Alexandria via LeMat-Bulk. Energies are from PBE.

CIF file:
```
data_Y7Cd2Ga2
_chemical_formula_sum 'Y14 Cd4 Ga4'
_symmetry_space_group_name_H-M 'C m m m'
_symmetry_Int_Tables_number 65
_symmetry_space_group_name_Hall '-C 2 2'
_cell_length_a 7.765
_cell_length_b 11.209
_cell_length_c 7.462
_cell_angle_alpha 90.00
_cell_angle_beta 90.00
_cell_angle_gamma 90.00
loop_
_atom_site_label
_atom_site_type_symbol
_atom_site_fract_x
_atom_site_fract_y
_atom_site_fract_z
Y1 Y 0.000 0.000 0.000
Y2 Y 0.000 0.500 0.250
Y3 Y 0.250 0.250 0.275
Cd1 Cd 0.176 0.000 0.500
Ga1 Ga 0.000 0.294 0.000
```

Results
DFT total energy	-4.988	eV per atom

Here is MgFeMo2 after structural relaxation from Alexandria via LeMat-Bulk. Energies are from PBE.

CIF file:
```
data_MgFeMo2
_chemical_formula_sum 'Mg1 Fe1 Mo2'
_symmetry_space_group_name_H-M 'P 4/m m m'
_symmetry_Int_Tables_number 123
_symmetry_space_group_name_Hall '-P 4 2'
_cell_length_a 2.741
_cell_length_b 2.741
_cell_length_c 8.107
_cell_angle_alpha 90.00
_cell_angle_beta 90.00
_cell_angle_gamma 90.00
loop_
_atom_site_label
_atom_site_type_symbol
_atom_site_fract_x
_atom_site_fract_y
_atom_site_fract_z
Mg1 Mg 0.000 0.000 0.000
Fe1 Fe 0.000 0.000 0.500
Mo1 Mo 0.500 0.500 0.288
```

Results
DFT total energy	-7.637	eV per atom